# 1
A relaxed BaC crystal, computed with PBE-GGA.

abc: 6.5077 6.5077 6.5077
angles: 90.00 90.00 90.00
Space group F-43m (No. 216)
Asymmetric unit:
Ba  0.0000  0.0000  0.0000
C  0.2500  0.2500  0.7500

Results
- Formation energy: 1561 meV per atom
- DOS(E_F): 5.7 states/eV/cell
- Relative energy among the computed polymorphs: 1.482 eV/atom
- Total energy: -4.01 eV per atom
- Mass density: 3.6 g cm⁻³


# 2
A relaxed BaC crystal, computed with PBE-GGA.

abc: 7.1723 7.1723 7.1723
angles: 90.00 90.00 90.00
Space group Fd-3m (No. 227, origin choice 2)
Asymmetric unit:
Ba  0.1250  0.1250  0.1250
C  0.1250  0.1250  0.6250

Results
- Formation energy: 2202 meV per atom
- DOS(E_F): 17.0 states/eV/cell
- Relative energy among the computed polymorphs: 2.124 eV/atom
- Total energy: -3.37 eV per atom
- Mass density: 5.4 g cm⁻³


# 3
A relaxed Ba7C6 crystal, computed with PBE-GGA.

abc: 7.8421 7.8421 23.6455
angles: 90.00 90.00 120.00
Space group R-3m (No. 166, hexagonal axes)
Asymmetric unit:
Ba  0.0000  0.0000  0.0000
Ba  0.0287  0.5143  0.4271
C  0.0000  0.0000  0.1545
C  0.0000  0.0000  0.3325
C  0.0000  0.0000  0.3865

Results
- Formation energy: 850 meV per atom
- DOS(E_F): 5.6 states/eV/cell
- Total energy: -4.44 eV per atom
- Mass density: 4.1 g cm⁻³


# 4
A relaxed BaC crystal, computed with PBE-GGA.

abc: 6.3121 6.3121 4.5230
angles: 90.00 90.00 120.00
Space group P6/mmm (No. 191)
Asymmetric unit:
Ba  0.0000  0.0000  0.0000
Ba  0.3333  0.6667  0.5000
C  0.0000  0.5000  0.0000

Results
- Formation energy: 1603 meV per atom
- DOS(E_F): 5.5 states/eV/cell
- Relative energy among the computed polymorphs: 1.525 eV/atom
- Total energy: -3.97 eV per atom
- Mass density: 4.8 g cm⁻³


# 5
A relaxed BaC2 crystal, computed with PBE-GGA.

abc: 4.2683 4.2683 14.3461
angles: 90.00 90.00 90.00
Space group I4_1/amd (No. 141, origin choice 2)
Asymmetric unit:
Ba  0.0000  0.2500  0.3750
C  0.0000  0.2500  0.8306

Results
- Formation energy: 411 meV per atom
- Total energy: -6.38 eV per atom
- Mass density: 4.1 g cm⁻³


# 6
A relaxed BaC2 crystal, computed with PBE-GGA.

abc: 4.8760 4.8760 5.8827
angles: 90.00 90.00 120.00
Space group P6_3/mmc (No. 194)
Asymmetric unit:
Ba  0.3333  0.6667  0.2500
C  0.0000  0.0000  0.0000
C  0.3333  0.6667  0.7500

Results
- Formation energy: 2623 meV per atom
- DOS(E_F): 1.9 states/eV/cell
- Total energy: -4.17 eV per atom
- Mass density: 4.4 g cm⁻³


# 7
A relaxed BaC2 crystal, computed with PBE-GGA.

abc: 5.2510 5.2510 7.4601
angles: 90.00 90.00 120.00
Space group R-3m (No. 166, hexagonal axes)
Asymmetric unit:
Ba  0.0000  0.0000  0.0000
C  0.0000  0.0000  0.4150

Results
- Formation energy: 178 meV per atom
- Total energy: -6.61 eV per atom
- Mass density: 4.5 g cm⁻³


# 8
A relaxed BaC2 crystal, computed with PBE-GGA.

abc: 4.2363 4.2363 9.2267
angles: 90.00 90.00 120.00
Space group P6_3/mmc (No. 194)
Asymmetric unit:
Ba  0.3333  0.6667  0.2500
C  0.0000  0.0000  0.0683

Results
- Formation energy: 197 meV per atom
- DOS(E_F): 0.0 states/eV/cell
- Total energy: -6.59 eV per atom
- Mass density: 3.7 g cm⁻³


# 9
A relaxed BaC crystal, computed with PBE-GGA.

abc: 11.1924 11.1924 2.9471
angles: 90.00 90.00 90.00
Space group I4/mmm (No. 139)
Asymmetric unit:
Ba  0.0000  0.2435  0.0000
C  0.2307  0.2307  0.5000

Results
- Formation energy: 810 meV per atom
- DOS(E_F): 13.6 states/eV/cell
- Relative energy among the computed polymorphs: 0.732 eV/atom
- Total energy: -4.76 eV per atom
- Mass density: 5.4 g cm⁻³


# 10
A relaxed BaC crystal, computed with PBE-GGA.

abc: 5.9314 5.9314 5.9314
angles: 90.00 90.00 90.00
Space group Pm-3m (No. 221)
Asymmetric unit:
Ba  0.0000  0.0000  0.5000
C  0.0000  0.5000  0.5000

Results
- Formation energy: 2013 meV per atom
- DOS(E_F): 4.4 states/eV/cell
- Relative energy among the computed polymorphs: 1.934 eV/atom
- Total energy: -3.56 eV per atom
- Mass density: 3.6 g cm⁻³


# 11
A relaxed BaC crystal, computed with PBE-GGA.

abc: 7.8022 7.8022 4.3617
angles: 90.00 90.00 90.00
Space group P4_2/mnm (No. 136)
Asymmetric unit:
Ba  0.2283  0.2283  0.0000
C  0.0580  0.0580  0.5000

Results
- Formation energy: 145 meV per atom
- DOS(E_F): 5.7 states/eV/cell
- Relative energy among the computed polymorphs: 0.067 eV/atom
- Total energy: -5.43 eV per atom
- Mass density: 3.7 g cm⁻³


# 12
A relaxed BaC crystal, computed with PBE-GGA.

abc: 4.9707 4.9707 6.0205
angles: 90.00 90.00 120.00
Space group P6_3/mmc (No. 194)
Asymmetric unit:
Ba  0.3333  0.6667  0.2500
C  0.3333  0.6667  0.7500

Results
- Formation energy: 1468 meV per atom
- DOS(E_F): 3.1 states/eV/cell
- Relative energy among the computed polymorphs: 1.389 eV/atom
- Total energy: -4.11 eV per atom
- Mass density: 3.8 g cm⁻³


# 13
A relaxed BaC crystal, computed with PBE-GGA.

abc: 3.7480 3.7480 25.3156
angles: 90.00 90.00 120.00
Space group R-3m (No. 166, hexagonal axes)
Asymmetric unit:
Ba  0.0000  0.0000  0.0746
C  0.0000  0.0000  0.3333

Results
- Formation energy: 1211 meV per atom
- DOS(E_F): 10.9 states/eV/cell
- Relative energy among the computed polymorphs: 1.132 eV/atom
- Total energy: -4.36 eV per atom
- Mass density: 4.8 g cm⁻³


# 14
A relaxed BaC2 crystal, computed with PBE-GGA.

abc: 8.2162 8.2162 2.8165
angles: 90.00 90.00 120.00
Space group P-62m (No. 189)
Asymmetric unit:
Ba  0.0000  0.0000  0.0000
Ba  0.3333  0.6667  0.5000
C  0.0000  0.3009  0.5000
C  0.0000  0.3608  0.0000

Results
- Formation energy: 810 meV per atom
- DOS(E_F): 6.0 states/eV/cell
- Total energy: -5.98 eV per atom
- Mass density: 4.9 g cm⁻³


# 15
A relaxed BaC2 crystal, computed with PBE-GGA.

abc: 4.7009 4.7009 13.9198
angles: 90.00 90.00 120.00
Space group P-3m1 (No. 164)
Asymmetric unit:
Ba  0.0000  0.0000  0.0000
Ba  0.3333  0.6667  0.3641
C  0.0000  0.0000  0.4546
C  0.3333  0.6667  0.0914
C  0.3333  0.6667  0.1821

Results
- Formation energy: 413 meV per atom
- Total energy: -6.38 eV per atom
- Mass density: 3.0 g cm⁻³


# 16
A relaxed BaC crystal, computed with PBE-GGA.

abc: 6.0253 6.0253 6.0253
angles: 90.00 90.00 90.00
Space group Fm-3m (No. 225)
Asymmetric unit:
Ba  0.0000  0.0000  0.0000
C  0.0000  0.0000  0.5000

Results
- Formation energy: 1394 meV per atom
- DOS(E_F): 6.5 states/eV/cell
- Relative energy among the computed polymorphs: 1.315 eV/atom
- Total energy: -4.18 eV per atom
- Mass density: 4.5 g cm⁻³


# 17
A relaxed Ba2C3 crystal, computed with PBE-GGA.

abc: 3.7551 3.7551 26.6715
angles: 90.00 90.00 120.00
Space group R-3m (No. 166, hexagonal axes)
Asymmetric unit:
Ba  0.0000  0.0000  0.0843
C  0.0000  0.0000  0.1837
C  0.0000  0.0000  0.5000

Results
- Formation energy: 1937 meV per atom
- DOS(E_F): 11.7 states/eV/cell
- Relative energy among the computed polymorphs: 1.778 eV/atom
- Total energy: -4.37 eV per atom
- Mass density: 4.8 g cm⁻³


# 18
A relaxed BaC crystal, computed with PBE-GGA.

abc: 6.0152 6.0152 5.7548
angles: 90.00 90.00 90.00
Space group P4/mmm (No. 123)
Asymmetric unit:
Ba  0.0000  0.0000  0.0000
Ba  0.0000  0.5000  0.5000
C  0.0000  0.0000  0.5000
C  0.0000  0.5000  0.0000

Results
- Formation energy: 1735 meV per atom
- DOS(E_F): 4.1 states/eV/cell
- Relative energy among the computed polymorphs: 1.656 eV/atom
- Total energy: -3.84 eV per atom
- Mass density: 3.6 g cm⁻³


# 19
A relaxed BaC2 crystal, computed with PBE-GGA.

abc: 3.8778 4.7028 20.0423
angles: 90.00 90.00 90.00
Space group Imma (No. 74)
Asymmetric unit:
Ba  0.0000  0.2500  0.0802
C  0.0000  0.2500  0.5398
C  0.0000  0.2500  0.6032

Results
- Formation energy: 364 meV per atom
- DOS(E_F): 0.0 states/eV/cell
- Total energy: -6.43 eV per atom
- Mass density: 2.9 g cm⁻³


# 20
A relaxed BaC crystal, computed with PBE-GGA.

abc: 5.6889 5.6889 7.0067
angles: 90.00 90.00 120.00
Space group P6_3/mmc (No. 194)
Asymmetric unit:
Ba  0.0000  0.0000  0.2500
Ba  0.3333  0.6667  0.2500
C  0.3333  0.6667  0.6574

Results
- Formation energy: 514 meV per atom
- DOS(E_F): 3.1 states/eV/cell
- Relative energy among the computed polymorphs: 0.436 eV/atom
- Total energy: -5.06 eV per atom
- Mass density: 5.1 g cm⁻³


# 21
A relaxed BaC2 crystal, computed with PBE-GGA.

abc: 7.2685 7.2685 7.2685
angles: 90.00 90.00 90.00
Space group Fd-3m (No. 227, origin choice 2)
Asymmetric unit:
Ba  0.1250  0.1250  0.1250
C  0.0000  0.0000  0.5000

Results
- Formation energy: 2521 meV per atom
- DOS(E_F): 20.4 states/eV/cell
- Total energy: -4.27 eV per atom
- Mass density: 5.6 g cm⁻³


# 22
A relaxed BaC2 crystal, computed with PBE-GGA.

abc: 5.7485 5.7485 7.4248
angles: 90.00 90.00 90.00
Space group I4/mcm (No. 140)
Asymmetric unit:
Ba  0.0000  0.0000  0.2500
C  0.0776  0.4224  0.0000

Results
- Formation energy: 243 meV per atom
- DOS(E_F): 0.0 states/eV/cell
- Total energy: -6.55 eV per atom
- Mass density: 4.4 g cm⁻³


# 23
A relaxed BaC crystal, computed with PBE-GGA.

abc: 7.8832 7.9934 4.6181
angles: 90.00 90.00 90.00
Space group Pbam (No. 55)
Asymmetric unit:
Ba  0.0000  0.0000  0.0000
Ba  0.1583  0.3323  0.5000
C  0.0000  0.5000  0.0000
C  0.1198  0.6202  0.0000

Results
- Formation energy: 120 meV per atom
- DOS(E_F): 3.3 states/eV/cell
- Relative energy among the computed polymorphs: 0.042 eV/atom
- Total energy: -5.45 eV per atom
- Mass density: 5.1 g cm⁻³


# 24
A relaxed BaC2 crystal, computed with PBE-GGA.

abc: 3.0553 3.0553 4.8047
angles: 90.00 90.00 120.00
Space group P6/mmm (No. 191)
Asymmetric unit:
Ba  0.0000  0.0000  0.0000
C  0.3333  0.6667  0.5000

Results
- Formation energy: 1470 meV per atom
- DOS(E_F): 1.6 states/eV/cell
- Total energy: -5.32 eV per atom
- Mass density: 6.9 g cm⁻³


# 25
A relaxed BaC crystal, computed with PBE-GGA.

abc: 17.0113 3.1161 6.0755
angles: 90.00 110.85 90.00
Space group Cm (No. 8)
Asymmetric unit:
Ba  0.0000  0.0000  0.0000
Ba  0.1424  0.5000  0.6399
Ba  0.3569  0.0000  0.3509
C  0.0026  0.0000  0.4871
C  0.3283  0.5000  0.7713
C  0.3512  0.0000  0.8324

Results
- Formation energy: 1073 meV per atom
- DOS(E_F): 2.7 states/eV/cell
- Relative energy among the computed polymorphs: 0.994 eV/atom
- Total energy: -4.50 eV per atom
- Mass density: 4.9 g cm⁻³


# 26
A relaxed BaC2 crystal, computed with PBE-GGA.

abc: 3.8185 17.5756 4.0865
angles: 90.00 90.00 90.00
Space group Cmmm (No. 65)
Asymmetric unit:
Ba  0.0000  0.1117  0.0000
C  0.0000  0.0000  0.5000
C  0.0000  0.4606  0.5000
C  0.0000  0.5000  0.0000

Results
- Formation energy: 1614 meV per atom
- DOS(E_F): 4.0 states/eV/cell
- Total energy: -5.18 eV per atom
- Mass density: 3.9 g cm⁻³


# 27
A relaxed Ba2C3 crystal, computed with PBE-GGA.

abc: 4.8503 4.8503 6.0999
angles: 90.00 90.00 120.00
Space group P-3m1 (No. 164)
Asymmetric unit:
Ba  0.3333  0.6667  0.2609
C  0.0000  0.0000  0.5000
C  0.3333  0.6667  0.7406

Results
- Formation energy: 2110 meV per atom
- DOS(E_F): 2.8 states/eV/cell
- Relative energy among the computed polymorphs: 1.952 eV/atom
- Total energy: -4.19 eV per atom
- Mass density: 4.2 g cm⁻³